The following is a DFT calculation (GGA-PBE) of Zr2Sn after structural relaxation.

## Properties
Energy of formation from the pure elements: -0.204 eV per atom
Symmetry: P2_1/m
E: -7.24 eV/atom
Density: 7.18 g cm⁻³

Cell: 8.524 5.290 12.530 Å, 90.00 99.33 90.00°
Fractional coordinates of all 24 atoms:
Zr 0.023 0.250 0.314
Zr 0.041 0.250 0.070
Zr 0.077 0.250 0.563
Zr 0.088 0.250 0.823
Zr 0.249 0.750 0.342
Zr 0.265 0.750 0.098
Zr 0.397 0.250 0.986
Zr 0.404 0.250 0.477
Zr 0.596 0.750 0.523
Zr 0.603 0.750 0.014
Zr 0.735 0.250 0.902
Zr 0.751 0.250 0.658
Zr 0.912 0.750 0.177
Zr 0.923 0.750 0.437
Zr 0.959 0.750 0.930
Zr 0.977 0.750 0.686
Sn 0.267 0.750 0.578
Sn 0.288 0.750 0.859
Sn 0.349 0.250 0.229
Sn 0.417 0.250 0.728
Sn 0.583 0.750 0.272
Sn 0.651 0.750 0.771
Sn 0.712 0.250 0.141
Sn 0.733 0.250 0.422

The following is a DFT calculation (GGA-PBE) of PrTiTe3 after structural relaxation.

## Properties
E_form (uncorrected): -24.79 kcal/mol of atoms
Symmetry: C2/m
E: -5.49 eV/atom
Density: 6.38 g cm⁻³

Cell: 8.187 8.187 9.136 Å, 90.84 90.84 29.05°
Fractional coordinates of all 10 atoms:
Pr 0.104 0.104 0.400
Pr 0.896 0.896 0.600
Ti 0.297 0.297 0.129
Ti 0.703 0.703 0.871
Te 0.129 0.129 0.035
Te 0.246 0.246 0.666
Te 0.447 0.447 0.326
Te 0.553 0.553 0.674
Te 0.754 0.754 0.334
Te 0.871 0.871 0.965

The following is a DFT calculation (GGA-PBE) of Te2AsN2 after structural relaxation.

## Properties
E_form (uncorrected): 41.77 kcal/mol of atoms
Energy above the most stable polymorph in this dataset: 1.754 eV/atom
Symmetry: P4/mmm
E: -3.71 eV/atom
Density: 5.15 g cm⁻³

Cell: 5.695 5.695 3.560 Å, 90.00 90.00 90.00°
Fractional coordinates of all 5 atoms:
Te 0.000 0.500 0.000
Te 0.500 0.000 0.000
As 0.000 0.000 0.000
N 0.000 0.000 0.500
N 0.500 0.500 0.500

The following is a DFT calculation (GGA-PBE) of LiCeMg2Tl2 after structural relaxation.

## Properties
Energy of formation from the pure elements: -0.198 eV per atom
Symmetry: P-3m1
E: -2.83 eV/atom
Density: 6.80 g cm⁻³

Cell: 4.942 4.942 6.979 Å, 90.00 90.00 120.00°
Fractional coordinates of all 6 atoms:
Li 0.000 0.000 0.000
Ce 0.000 0.000 0.500
Mg 0.333 0.667 0.181
Mg 0.667 0.333 0.819
Tl 0.333 0.667 0.727
Tl 0.667 0.333 0.273

The following is a DFT calculation (GGA-PBE) of ScAlNi after structural relaxation.

## Properties
Energy of formation from the pure elements: -0.507 eV per atom
Symmetry: I4mm
E: -5.79 eV/atom
Density: 4.56 g cm⁻³

Cell: 5.608 5.608 5.608 Å, 148.65 148.65 44.92°
Fractional coordinates of all 3 atoms:
Sc 0.000 0.000 0.000
Al 0.292 0.292 0.000
Ni 0.668 0.668 0.000

The following is a DFT calculation (GGA-PBE) of Mg4Si3 after structural relaxation.

## Properties
E_form (uncorrected): 2.11 kcal/mol of atoms
Energy above the most stable polymorph in this dataset: 0.124 eV/atom
Symmetry: P-1
E: -3.14 eV/atom
Density: 2.11 g cm⁻³

Cell: 4.405 5.491 6.229 Å, 85.67 74.72 78.73°
Fractional coordinates of all 7 atoms:
Mg 0.093 0.232 0.375
Mg 0.265 0.171 0.847
Mg 0.735 0.829 0.153
Mg 0.907 0.768 0.625
Si 0.359 0.662 0.903
Si 0.500 0.500 0.500
Si 0.641 0.338 0.097

The following is a DFT calculation (GGA-PBE) of LiNd2MgTe4 after structural relaxation.

## Properties
E_form (uncorrected): -27.46 kcal/mol of atoms
Symmetry: P2/m
E: -4.39 eV/atom
Density: 5.79 g cm⁻³

Cell: 7.530 4.355 7.667 Å, 90.00 108.79 90.00°
Fractional coordinates of all 8 atoms:
Li 0.000 0.000 0.000
Nd 0.000 0.500 0.500
Nd 0.500 0.000 0.500
Mg 0.500 0.500 0.000
Te 0.246 0.500 0.230
Te 0.257 0.000 0.773
Te 0.743 0.000 0.227
Te 0.754 0.500 0.770

The following is a DFT calculation (GGA-PBE) of WSBr after structural relaxation.

## Properties
E_form (uncorrected): -8.88 kcal/mol of atoms
Energy above the most stable polymorph in this dataset: 0.003 eV/atom
Symmetry: P2_1/m
E: -6.64 eV/atom
Density: 5.17 g cm⁻³

Cell: 7.011 3.426 7.962 Å, 90.00 96.52 90.00°
Fractional coordinates of all 6 atoms:
W 0.111 0.250 0.090
W 0.889 0.750 0.910
S 0.227 0.750 0.916
S 0.773 0.250 0.084
Br 0.242 0.250 0.385
Br 0.758 0.750 0.615

The following is a DFT calculation (GGA-PBE) of AgAsSe2 after structural relaxation.

## Properties
E_form (uncorrected): 1.17 kcal/mol of atoms
Symmetry: P2/m
E: -3.57 eV/atom
Density: 6.48 g cm⁻³

Cell: 2.886 3.907 7.757 Å, 90.00 93.16 90.00°
Fractional coordinates of all 4 atoms:
Ag 0.000 0.000 0.000
As 0.000 0.000 0.500
Se 0.038 0.500 0.750
Se 0.962 0.500 0.250

The following is a DFT calculation (GGA-PBE) of Li2Mg2Sn after structural relaxation.

## Properties
Energy of formation from the pure elements: -0.066 eV per atom
Energy above the most stable polymorph in this dataset: 0.059 eV/atom
Symmetry: P4/mbm
E: -2.27 eV/atom
Density: 2.75 g cm⁻³

Cell: 7.676 7.676 3.708 Å, 90.00 90.00 90.00°
Fractional coordinates of all 10 atoms:
Li 0.160 0.340 0.000
Li 0.340 0.840 0.000
Li 0.660 0.160 0.000
Li 0.840 0.660 0.000
Mg 0.138 0.638 0.500
Mg 0.362 0.138 0.500
Mg 0.638 0.862 0.500
Mg 0.862 0.362 0.500
Sn 0.000 0.000 0.500
Sn 0.500 0.500 0.500

The following is a DFT calculation (GGA-PBE) of TbSmAgAu after structural relaxation.

## Properties
Energy of formation from the pure elements: -0.568 eV per atom
Energy above the most stable polymorph in this dataset: 0.000 eV/atom
Symmetry: P4mm
E: -4.44 eV/atom
Density: 10.40 g cm⁻³

Cell: 3.641 3.641 7.393 Å, 90.00 90.00 90.00°
Fractional coordinates of all 4 atoms:
Tb 0.000 0.000 0.000
Sm 0.000 0.000 0.489
Ag 0.500 0.500 0.755
Au 0.500 0.500 0.232

The following is a DFT calculation (GGA-PBE) of La12Nd3Ga after structural relaxation.

## Properties
Energy of formation from the pure elements: -0.044 eV per atom
Symmetry: P4/mmm
E: -4.82 eV/atom
Density: 6.47 g cm⁻³

Cell: 5.156 5.156 20.943 Å, 90.00 90.00 90.00°
Fractional coordinates of all 16 atoms:
La 0.000 0.000 0.000
La 0.000 0.000 0.245
La 0.000 0.000 0.500
La 0.000 0.000 0.755
La 0.000 0.500 0.116
La 0.000 0.500 0.371
La 0.000 0.500 0.629
La 0.000 0.500 0.884
La 0.500 0.000 0.116
La 0.500 0.000 0.371
La 0.500 0.000 0.629
La 0.500 0.000 0.884
Nd 0.500 0.500 0.244
Nd 0.500 0.500 0.500
Nd 0.500 0.500 0.756
Ga 0.500 0.500 0.000

The following is a DFT calculation (GGA-PBE) of Sr2BePd2 after structural relaxation.

## Properties
Energy of formation from the pure elements: -0.199 eV per atom
Energy above the most stable polymorph in this dataset: 0.000 eV/atom
Symmetry: P4/mbm
E: -3.69 eV/atom
Density: 5.66 g cm⁻³

Cell: 7.123 7.123 4.590 Å, 90.00 90.00 90.00°
Fractional coordinates of all 10 atoms:
Sr 0.172 0.328 0.000
Sr 0.328 0.828 0.000
Sr 0.672 0.172 0.000
Sr 0.828 0.672 0.000
Be 0.000 0.000 0.500
Be 0.500 0.500 0.500
Pd 0.143 0.643 0.500
Pd 0.357 0.143 0.500
Pd 0.643 0.857 0.500
Pd 0.857 0.357 0.500

The following is a DFT calculation (GGA-PBE) of Sm8SbAu2 after structural relaxation.

## Properties
E_form (uncorrected): -10.56 kcal/mol of atoms
Symmetry: C2/m
E: -4.86 eV/atom
Density: 8.58 g cm⁻³

Cell: 9.909 9.909 7.061 Å, 108.67 108.67 30.58°
Fractional coordinates of all 11 atoms:
Sm 0.025 0.025 0.272
Sm 0.201 0.201 0.848
Sm 0.326 0.326 0.502
Sm 0.405 0.405 0.027
Sm 0.595 0.595 0.973
Sm 0.674 0.674 0.498
Sm 0.799 0.799 0.152
Sm 0.975 0.975 0.728
Sb 0.500 0.500 0.500
Au 0.173 0.173 0.235
Au 0.827 0.827 0.765

The following is a DFT calculation (GGA-PBE) of Nb2B2S7 after structural relaxation.

## Properties
E_form (uncorrected): -10.43 kcal/mol of atoms
Symmetry: C2/m
E: -6.12 eV/atom
Density: 3.46 g cm⁻³

Cell: 6.218 6.218 5.624 Å, 97.41 97.41 103.08°
Fractional coordinates of all 11 atoms:
Nb 0.157 0.843 0.000
Nb 0.843 0.157 0.000
B 0.296 0.296 0.627
B 0.704 0.704 0.373
S 0.094 0.424 0.792
S 0.121 0.121 0.308
S 0.424 0.094 0.792
S 0.500 0.500 0.500
S 0.576 0.906 0.208
S 0.879 0.879 0.692
S 0.906 0.576 0.208

The following is a DFT calculation (GGA-PBE) of Ce2ZrO5 after structural relaxation.

## Properties
E_form (uncorrected): -76.41 kcal/mol of atoms
Symmetry: Pnma
E: -8.96 eV/atom
Density: 7.14 g cm⁻³

Cell: 9.949 6.816 6.194 Å, 90.00 90.00 90.00°
Fractional coordinates of all 32 atoms:
Ce 0.173 0.002 0.026
Ce 0.173 0.498 0.026
Ce 0.327 0.502 0.526
Ce 0.327 0.998 0.526
Ce 0.673 0.002 0.474
Ce 0.673 0.498 0.474
Ce 0.827 0.502 0.974
Ce 0.827 0.998 0.974
Zr 0.005 0.250 0.558
Zr 0.495 0.750 0.058
Zr 0.505 0.250 0.942
Zr 0.995 0.750 0.442
O 0.005 0.250 0.933
O 0.089 0.527 0.656
O 0.089 0.973 0.656
O 0.182 0.250 0.342
O 0.202 0.750 0.322
O 0.298 0.250 0.822
O 0.318 0.750 0.842
O 0.411 0.027 0.156
O 0.411 0.473 0.156
O 0.495 0.750 0.433
O 0.505 0.250 0.567
O 0.589 0.527 0.844
O 0.589 0.973 0.844
O 0.682 0.250 0.158
O 0.702 0.750 0.178
O 0.798 0.250 0.678
O 0.818 0.750 0.658
O 0.911 0.027 0.344
O 0.911 0.473 0.344
O 0.995 0.750 0.067

The following is a DFT calculation (GGA-PBE) of CoNi2Rh after structural relaxation.

## Properties
Energy of formation from the pure elements: 0.124 eV per atom
Energy above the most stable polymorph in this dataset: 0.111 eV/atom
Symmetry: P4/mmm
E: -6.38 eV/atom
Density: 9.62 g cm⁻³

Cell: 2.987 2.987 5.403 Å, 90.00 90.00 90.00°
Fractional coordinates of all 4 atoms:
Co 0.000 0.000 0.000
Ni 0.500 0.500 0.226
Ni 0.500 0.500 0.774
Rh 0.000 0.000 0.500

The following is a DFT calculation (GGA-PBE) of BaBiTeI2 after structural relaxation.

## Properties
E_form (uncorrected): -15.37 kcal/mol of atoms
Energy above the most stable polymorph in this dataset: 0.000 eV/atom
Symmetry: P4/mmm
E: -3.08 eV/atom
Density: 5.23 g cm⁻³

Cell: 6.070 6.070 6.275 Å, 90.00 90.00 90.00°
Fractional coordinates of all 5 atoms:
Ba 0.000 0.000 0.000
Bi 0.500 0.500 0.500
Te 0.500 0.500 0.000
I 0.000 0.500 0.500
I 0.500 0.000 0.500

The following is a DFT calculation (GGA-PBE) of SrSiP2 after structural relaxation.

## Properties
E_form (uncorrected): -6.08 kcal/mol of atoms
Symmetry: R-3m
E: -4.74 eV/atom
Density: 3.64 g cm⁻³

Cell: 5.750 5.750 5.750 Å, 43.28 43.28 43.28°
Fractional coordinates of all 4 atoms:
Sr 0.000 0.000 0.000
Si 0.500 0.500 0.500
P 0.211 0.211 0.211
P 0.789 0.789 0.789

The following is a DFT calculation (GGA-PBE) of CsCdHBr2 after structural relaxation.

## Properties
Symmetry: P4/mmm
E: -2.55 eV/atom
Density: 4.74 g cm⁻³

Cell: 5.978 5.978 3.980 Å, 90.00 90.00 90.00°
Fractional coordinates of all 5 atoms:
Cs 0.000 0.000 0.000
Cd 0.500 0.500 0.500
H 0.500 0.500 0.000
Br 0.000 0.500 0.500
Br 0.500 0.000 0.500

The following is a DFT calculation (GGA-PBE) of TbPrNd2Y5 after structural relaxation.

## Properties
Energy of formation from the pure elements: 0.239 eV per atom
Symmetry: I4/mcm
E: -5.46 eV/atom
Density: 5.74 g cm⁻³

Cell: 10.022 10.022 10.022 Å, 128.63 128.63 75.60°
Fractional coordinates of all 18 atoms:
Tb 0.250 0.250 0.000
Tb 0.750 0.750 0.000
Pr 0.250 0.750 0.500
Pr 0.750 0.250 0.500
Nd 0.118 0.618 0.737
Nd 0.382 0.118 0.500
Nd 0.618 0.882 0.500
Nd 0.882 0.382 0.263
Y 0.000 0.000 0.000
Y 0.070 0.154 0.500
Y 0.154 0.654 0.084
Y 0.346 0.430 0.500
Y 0.430 0.930 0.084
Y 0.500 0.500 0.000
Y 0.570 0.070 0.916
Y 0.654 0.570 0.500
Y 0.846 0.346 0.916
Y 0.930 0.846 0.500

The following is a DFT calculation (GGA-PBE) of TbPm9Er2 after structural relaxation.

## Properties
Energy of formation from the pure elements: 0.017 eV per atom
Symmetry: P4/mmm
E: -4.69 eV/atom
Density: 7.44 g cm⁻³

Cell: 5.116 5.116 15.342 Å, 90.00 90.00 90.00°
Fractional coordinates of all 12 atoms:
Tb 0.000 0.000 0.000
Pm 0.000 0.500 0.167
Pm 0.000 0.500 0.500
Pm 0.000 0.500 0.833
Pm 0.500 0.000 0.167
Pm 0.500 0.000 0.500
Pm 0.500 0.000 0.833
Pm 0.500 0.500 0.000
Pm 0.500 0.500 0.334
Pm 0.500 0.500 0.666
Er 0.000 0.000 0.334
Er 0.000 0.000 0.666